KHoCrN3: relaxed, GGA-PBE.

Calculated values
Uncorrected formation energy (eV/atom): -0.53
Symmetry: C2/m (12)

POSCAR file:
```
KHoCrN3
1.0
3.720 0.000 0.000
-1.860 6.545 -0.018
0.000 -1.958 7.483
K Ho N Cr
2 2 6 2
Direct
0.361 0.722 0.932 K
0.639 0.278 0.068 K
0.661 0.321 0.580 Ho
0.339 0.679 0.420 Ho
0.489 0.978 0.670 N
0.868 0.736 0.225 N
0.132 0.264 0.775 N
0.157 0.315 0.370 N
0.843 0.685 0.630 N
0.511 0.022 0.330 N
0.996 0.992 0.666 Cr
0.004 0.008 0.334 Cr
```